(1)
This record from Alexandria describes a geometry-optimized BaBiPbF structure. The functional is GGA-PBE.

Results
formation energy without anion corrections = -1.61 eV per atom
total moment = 0.0 μB per formula unit

Lattice parameters (Å, degrees): 4.9655 4.9655 10.3048 90.00 90.00 90.00
Element x y z (fractional)
Ba 0.5000 0.0000 0.1190
Bi 0.0000 0.5000 0.2885
Bi 0.5000 0.0000 0.7115
F 0.5000 0.5000 0.0000
Ba 0.0000 0.5000 0.8810
Pb 0.5000 0.5000 0.5000
Pb 0.0000 0.0000 0.5000
F 0.0000 0.0000 0.0000

---

(2)
This record from Alexandria describes a geometry-optimized Rb2BaBiF8 structure. The functional is GGA-PBE.

Results
formation energy without anion corrections = -2.78 eV per atom
total moment = 0.7 μB per formula unit

Lattice parameters (Å, degrees): 6.2823 6.2823 7.3843 115.17 115.17 90.00
Site moments in Bohr magnetons follow the coordinates.
Element x y z (fractional)
F 0.3547 0.4311 0.2734  0.07
Ba 0.5000 0.5000 0.0000  0.00
F 0.3547 0.8423 0.2734  0.07
Bi 0.2500 0.7500 0.5000  0.14
F 0.5689 0.6453 0.7266  0.07
F 0.1577 0.0813 0.7266  0.07
F 0.1577 0.6453 0.7266  0.07
F 0.5689 0.0813 0.7266  0.07
F 0.9187 0.4311 0.2734  0.07
F 0.9187 0.8423 0.2734  0.07
Rb 0.0000 0.0000 0.0000  0.00
Rb 0.7500 0.2500 0.5000  0.00

---

(3)
This record from Alexandria describes a geometry-optimized RbBa2BiF structure. The functional is GGA-PBE.

Results
formation energy without anion corrections = -1.41 eV per atom
total moment = 0.0 μB per formula unit

Lattice parameters (Å, degrees): 5.6591 5.6591 5.4563 90.00 90.00 90.00
Element x y z (fractional)
Ba 0.5000 0.0000 0.0000
Ba 0.0000 0.5000 0.0000
Rb 0.0000 0.0000 0.5000
Bi 0.5000 0.5000 0.5000
F 0.0000 0.0000 0.0000

---

(4)
This record from Alexandria describes a geometry-optimized Rb2BaBiF structure. The functional is GGA-PBE.

Results
formation energy without anion corrections = -1.44 eV per atom
total moment = 0.0 μB per formula unit

Lattice parameters (Å, degrees): 5.4789 5.4789 5.9217 90.00 90.00 90.00
Element x y z (fractional)
Bi 0.5000 0.5000 0.5000
Ba 0.0000 0.0000 0.5000
Rb 0.0000 0.5000 0.0000
Rb 0.5000 0.0000 0.0000
F 0.0000 0.0000 0.0000

---

(5)
This record from Alexandria describes a geometry-optimized Rb2BaBiF6 structure. The functional is GGA-PBE.

Results
formation energy without anion corrections = -2.64 eV per atom
total moment = 0.0 μB per formula unit

Lattice parameters (Å, degrees): 6.9962 6.9962 6.9983 60.01 60.01 90.00
Element x y z (fractional)
F 0.2392 0.7608 0.0000
F 0.2394 0.2394 0.5212
Ba 0.5000 0.5000 0.0000
F 0.7606 0.7606 0.4788
F 0.7608 0.7608 0.0000
F 0.2392 0.2392 0.0000
F 0.7608 0.2392 0.0000
Rb 0.2500 0.7500 0.5000
Bi 0.0000 0.0000 0.0000
Rb 0.7500 0.2500 0.5000

---

(6)
This record from Alexandria describes a geometry-optimized BaScBiF2 structure. The functional is GGA-PBE.

Results
formation energy without anion corrections = -1.75 eV per atom
total moment = 0.7 μB per formula unit

Lattice parameters (Å, degrees): 4.4450 8.5589 4.4450 90.00 90.00 90.00
Site moments in Bohr magnetons follow the coordinates.
Element x y z (fractional)
Sc 0.0000 0.0000 0.0000  0.56
Bi 0.5000 0.5000 0.5000  -0.11
Ba 0.0000 0.5000 0.0000  -0.01
F 0.0000 0.0000 0.5000  -0.01
F 0.5000 0.0000 0.0000  -0.01

---

(7)
This record from Alexandria describes a geometry-optimized BaBiSe2F structure. The functional is GGA-PBE.

Results
formation energy without anion corrections = -1.74 eV per atom
total moment = 0.0 μB per formula unit

Lattice parameters (Å, degrees): 4.3001 4.3001 15.1789 90.00 90.00 90.00
Element x y z (fractional)
Ba 0.0000 0.5000 0.3949
Bi 0.0000 0.5000 0.8752
Se 0.0000 0.5000 0.0994
Ba 0.5000 0.0000 0.6051
Se 0.0000 0.5000 0.7004
F 0.0000 0.0000 0.5000
Bi 0.5000 0.0000 0.1248
Se 0.5000 0.0000 0.2996
F 0.5000 0.5000 0.5000
Se 0.5000 0.0000 0.9006

---

(8)
This record from Alexandria describes a geometry-optimized BaSr2BiF structure. The functional is GGA-PBE.

Results
formation energy without anion corrections = -1.34 eV per atom
total moment = 0.3 μB per formula unit

Lattice parameters (Å, degrees): 5.3114 5.3114 5.9417 90.00 90.00 90.00
Site moments in Bohr magnetons follow the coordinates.
Element x y z (fractional)
Bi 0.5000 0.5000 0.5000  -0.01
Sr 0.0000 0.5000 0.0000  0.03
F 0.0000 0.0000 0.0000  0.00
Sr 0.5000 0.0000 0.0000  0.03
Ba 0.0000 0.0000 0.5000  0.06